Record 1
{
  "formula": "Zr3TcPt",
  "functional": "GGA-PBEsol",
  "state": "optimized geometry",
  "lattice_angstrom": [[-2.431, -0.731, 4.111], [-2.843, -3.195, -2.249], [3.059, -3.550, 1.177]],
  "species": ["Tc", "Zr", "Zr", "Zr", "Pt"],
  "frac_coords": [[0.000, 0.000, 0.000], [0.000, 0.000, 0.500], [0.000, 0.500, 0.000], [0.500, 0.000, 0.000], [0.500, 0.500, 0.500]],
  "crystal_system": "cubic",
  "formation_enthalpy_0k_ev_per_atom": 0.4894
}

Record 2
{
  "formula": "MgAlSb2",
  "functional": "GGA-PBEsol",
  "state": "optimized geometry",
  "lattice_angstrom": [[-0.025, 1.288, -3.674], [-3.297, -0.054, 2.081], [3.602, 6.410, 2.204]],
  "species": ["Mg", "Al", "Sb", "Sb"],
  "frac_coords": [[0.500, 0.000, 0.000], [0.000, 0.000, 0.500], [0.256, 0.513, 0.270], [0.744, 0.487, 0.730]],
  "crystal_system": "triclinic",
  "polymorph_energy_kj_per_mol_atoms": 0.2,
  "raw_formation_energy_mev_per_atom": -92
}

Record 3
{
  "formula": "Ca2IrAu",
  "functional": "GGA-PBEsol",
  "state": "optimized geometry",
  "lattice_angstrom": [[4.198, 0.000, 0.000], [0.000, 4.198, 0.000], [-2.099, -2.099, 4.574]],
  "species": ["Ca", "Ca", "Au", "Ir"],
  "frac_coords": [[0.000, 0.000, 0.000], [0.750, 0.250, 0.500], [0.250, 0.750, 0.500], [0.500, 0.500, 0.000]],
  "crystal_system": "tetragonal",
  "formation_enthalpy_0k_ev_per_atom": -0.2772
}

Record 4
{
  "formula": "RbPt",
  "functional": "GGA-PBEsol",
  "state": "optimized geometry",
  "lattice_angstrom": [[-0.826, 1.576, -2.470], [-0.664, -2.964, 0.207], [-4.730, 1.225, 2.363]],
  "species": ["Rb", "Pt"],
  "frac_coords": [[0.333, 0.667, 0.000], [0.000, 0.000, 0.500]],
  "crystal_system": "hexagonal",
  "formation_enthalpy_0k_ev_per_atom": 0.5311
}

Record 5
{
  "formula": "La2TlCd",
  "functional": "GGA-PBEsol",
  "state": "optimized geometry",
  "lattice_angstrom": [[-0.573, -3.394, 0.581], [4.453, -0.659, 0.547], [-0.673, 1.322, 7.062]],
  "species": ["Tl", "La", "La", "Cd"],
  "frac_coords": [[0.500, 0.500, 0.500], [0.000, 0.000, 0.250], [0.000, 0.000, 0.751], [0.500, 0.500, 0.000]],
  "crystal_system": "orthorhombic",
  "polymorph_energy_kj_per_mol_atoms": 1.1,
  "formation_enthalpy_0k_ev_per_atom": -0.3850
}

Record 6
{
  "formula": "KSrHg2",
  "functional": "GGA-PBEsol",
  "state": "optimized geometry",
  "lattice_angstrom": [[-2.764, -1.817, 2.222], [2.408, -3.148, 0.421], [3.201, 3.348, 6.720]],
  "species": ["Sr", "Hg", "Hg", "K"],
  "frac_coords": [[0.500, 0.500, 0.000], [0.000, 0.000, 0.216], [0.000, 0.000, 0.784], [0.500, 0.500, 0.500]],
  "crystal_system": "tetragonal",
  "formation_enthalpy_0k_ev_per_atom": -0.3404
}

Record 7
{
  "formula": "Ni3AgP3H2O12",
  "functional": "GGA-PBEsol",
  "state": "optimized geometry",
  "lattice_angstrom": [[6.412, 0.000, 0.000], [-2.379, 8.036, -0.030], [-2.379, -0.906, 7.985]],
  "species": ["O", "O", "O", "O", "O", "O", "O", "O", "O", "O", "O", "O", "O", "O", "O", "O", "O", "O", "O", "O", "O", "O", "O", "O", "P", "P", "P", "P", "P", "P", "Ag", "Ag", "Ni", "Ni", "Ni", "Ni", "Ni", "Ni", "H", "H", "H", "H"],
  "frac_coords": [[0.767, 0.006, 0.214], [0.395, 0.340, 0.340], [0.618, 0.169, 0.519], [0.689, 0.466, 0.099], [0.605, 0.660, 0.660], [0.657, 0.958, 0.771], [0.189, 0.099, 0.466], [0.466, 0.290, 0.778], [0.233, 0.994, 0.786], [0.895, 0.340, 0.340], [0.105, 0.660, 0.660], [0.811, 0.901, 0.534], [0.311, 0.534, 0.901], [0.267, 0.214, 0.006], [0.034, 0.222, 0.710], [0.118, 0.519, 0.169], [0.733, 0.786, 0.994], [0.843, 0.229, 0.042], [0.382, 0.831, 0.481], [0.882, 0.481, 0.831], [0.157, 0.771, 0.958], [0.534, 0.710, 0.222], [0.966, 0.778, 0.290], [0.343, 0.042, 0.229], [0.888, 0.392, 0.164], [0.112, 0.608, 0.836], [0.388, 0.164, 0.392], [0.612, 0.836, 0.608], [0.250, 0.181, 0.819], [0.750, 0.819, 0.181], [0.250, 0.459, 0.541], [0.750, 0.541, 0.459], [0.881, 0.128, 0.454], [0.250, 0.778, 0.222], [0.381, 0.454, 0.128], [0.119, 0.872, 0.546], [0.619, 0.546, 0.872], [0.750, 0.222, 0.778], [0.694, 0.888, 0.885], [0.194, 0.885, 0.888], [0.806, 0.115, 0.112], [0.306, 0.112, 0.115]],
  "crystal_system": "monoclinic",
  "final_energy_ev_per_atom": -6.635
}

Record 8
{
  "formula": "BaCd3",
  "functional": "GGA-PBEsol",
  "state": "optimized geometry",
  "lattice_angstrom": [[3.410, 0.000, 0.000], [-1.137, 6.212, 0.000], [-1.137, -3.106, 5.379]],
  "species": ["Cd", "Cd", "Cd", "Ba"],
  "frac_coords": [[0.000, 0.500, 0.500], [0.500, 0.000, 0.500], [0.500, 0.500, 0.000], [0.000, 0.000, 0.000]],
  "crystal_system": "trigonal",
  "formation_enthalpy_0k_ev_per_atom": 0.0371
}